Record 1
# Nb2Al2Ru PBE relaxed
data_Nb2Al2Ru
_chemical_formula_sum 'Nb4 Al4 Ru2'
_cell_length_a 6.481
_cell_length_b 6.481
_cell_length_c 3.903
_cell_angle_alpha 90.00
_cell_angle_beta 90.00
_cell_angle_gamma 90.00
_symmetry_space_group_name_H-M 'P 4/m b m'
_symmetry_Int_Tables_number 127
_symmetry_space_group_name_Hall '-P 4 2ab'
loop_
_atom_site_label
_atom_site_type_symbol
_atom_site_fract_x
_atom_site_fract_y
_atom_site_fract_z
Nb1 Nb 0.164 0.336 0.000
Al1 Al 0.140 0.640 0.500
Ru1 Ru 0.000 0.000 0.500
# E_tot = -0.5588 Ry per atom
# ΔH_f (0 K) = -0.22 eV per atom
# Total magnetization = 0.0 μB per formula unit

Record 2
# Nb3AlRu4 PBE relaxed
data_Nb3AlRu4
_chemical_formula_sum 'Nb3 Al1 Ru4'
_cell_length_a 3.097
_cell_length_b 3.097
_cell_length_c 12.945
_cell_angle_alpha 90.00
_cell_angle_beta 90.00
_cell_angle_gamma 90.00
_symmetry_space_group_name_H-M 'P 4/m m m'
_symmetry_Int_Tables_number 123
_symmetry_space_group_name_Hall '-P 4 2'
loop_
_atom_site_label
_atom_site_type_symbol
_atom_site_fract_x
_atom_site_fract_y
_atom_site_fract_z
Nb1 Nb 0.000 0.000 0.000
Nb2 Nb 0.000 0.000 0.261
Al1 Al 0.000 0.000 0.500
Ru1 Ru 0.500 0.500 0.138
Ru2 Ru 0.500 0.500 0.384
# E_tot = -0.6813 Ry per atom
# ΔH_f (0 K) = -0.39 eV per atom
# Total magnetization = 0.0 μB per formula unit

Record 3
# Nb2AlSi2Ru5 PBE relaxed
data_Nb2AlSi2Ru5
_chemical_formula_sum 'Nb4 Al2 Si4 Ru10'
_cell_length_a 9.704
_cell_length_b 9.704
_cell_length_c 3.094
_cell_angle_alpha 90.00
_cell_angle_beta 90.00
_cell_angle_gamma 90.00
_symmetry_space_group_name_H-M 'P 4/m b m'
_symmetry_Int_Tables_number 127
_symmetry_space_group_name_Hall '-P 4 2ab'
loop_
_atom_site_label
_atom_site_type_symbol
_atom_site_fract_x
_atom_site_fract_y
_atom_site_fract_z
Nb1 Nb 0.175 0.325 0.000
Al1 Al 0.000 0.000 0.000
Si1 Si 0.129 0.629 0.000
Ru1 Ru 0.000 0.500 0.500
Ru2 Ru 0.063 0.795 0.500
# E_tot = -0.6357 Ry per atom
# Raw formation energy = -5.38 eV/f.u.
# Total magnetization = 0.0 μB per formula unit